# 1
The following is a PBE-GGA calculation of LaCe3Er2Se6 after structural relaxation, from Alexandria.

```
data_LaCe3Er2Se6
_symmetry_space_group_name_H-M 'P 1'
_symmetry_Int_Tables_number 1
_symmetry_space_group_name_Hall 'P 1'
_cell_length_a 7.201
_cell_length_b 7.201
_cell_length_c 7.263
_cell_angle_alpha 99.54
_cell_angle_beta 99.54
_cell_angle_gamma 120.06
loop_
_atom_site_label
_atom_site_type_symbol
_atom_site_fract_x
_atom_site_fract_y
_atom_site_fract_z
Ce1 Ce 0.500 0.500 0.500
Ce2 Ce 0.161 0.839 0.500
Ce3 Ce 0.839 0.161 0.500
Se1 Se 0.428 0.081 0.244
Se2 Se 0.268 0.268 0.763
Se3 Se 0.572 0.919 0.756
Se4 Se 0.919 0.572 0.756
Se5 Se 0.081 0.428 0.244
Se6 Se 0.732 0.732 0.237
La1 La 0.000 0.000 0.000
Er1 Er 0.332 0.668 0.000
Er2 Er 0.668 0.332 0.000
```

**Crystal system**: monoclinic
**Total moment**: 3.00 μB/f.u.
**VASP energy**: -6.207 eV/atom
**ΔE_f (raw)**: -1.810 eV per atom

---

# 2
The following is a PBE-GGA calculation of LaCeSmEr after structural relaxation, from Alexandria.

```
data_LaCeSmEr
_symmetry_space_group_name_H-M 'P 1'
_symmetry_Int_Tables_number 1
_symmetry_space_group_name_Hall 'P 1'
_cell_length_a 5.754
_cell_length_b 5.754
_cell_length_c 5.754
_cell_angle_alpha 60.00
_cell_angle_beta 60.00
_cell_angle_gamma 60.00
loop_
_atom_site_label
_atom_site_type_symbol
_atom_site_fract_x
_atom_site_fract_y
_atom_site_fract_z
Er1 Er 0.000 0.000 0.000
La1 La 0.250 0.250 0.250
Ce1 Ce 0.500 0.500 0.500
Sm1 Sm 0.750 0.750 0.750
```

**Crystal system**: cubic
**Total moment**: 3.30 μB/f.u.
**VASP energy**: -4.837 eV/atom

---

# 3
The following is a PBE-GGA calculation of La2CeSm6Er3 after structural relaxation, from Alexandria.

```
data_La2CeSm6Er3
_symmetry_space_group_name_H-M 'P 1'
_symmetry_Int_Tables_number 1
_symmetry_space_group_name_Hall 'P 1'
_cell_length_a 6.258
_cell_length_b 6.258
_cell_length_c 11.965
_cell_angle_alpha 95.02
_cell_angle_beta 95.02
_cell_angle_gamma 120.05
loop_
_atom_site_label
_atom_site_type_symbol
_atom_site_fract_x
_atom_site_fract_y
_atom_site_fract_z
Er1 Er 0.833 0.167 0.500
Er2 Er 0.167 0.833 0.500
Er3 Er 0.500 0.500 0.500
Ce1 Ce 0.000 0.000 0.000
Sm1 Sm 0.585 0.916 0.746
Sm2 Sm 0.916 0.585 0.746
Sm3 Sm 0.246 0.246 0.745
Sm4 Sm 0.754 0.754 0.255
Sm5 Sm 0.084 0.415 0.254
Sm6 Sm 0.415 0.084 0.254
La1 La 0.666 0.334 0.000
La2 La 0.334 0.666 0.000
```

**Crystal system**: monoclinic
**Total moment**: 1.12 μB/f.u.
**VASP energy**: -4.772 eV/atom